1.
The following is a DFT calculation (PBE-GGA) of a relaxed MnGaW crystal.

Values from the calculation:
- relative energy among the computed polymorphs (meV per atom) = 0
- SG = I4mm

Unit cell a=3.003 b=3.003 c=5.049 alpha=107.30 beta=107.30 gamma=90.00
Fractional positions:
1 Mn 0.954 0.954 0.908
2 W 0.603 0.603 0.205
3 Ga 0.293 0.293 0.587


2.
The following is a DFT calculation (PBE-GGA) of a relaxed MnZnGa2W crystal.

Values from the calculation:
- SG = P4/mmm

Unit cell a=4.417 b=4.435 c=4.417 alpha=90.00 beta=90.00 gamma=90.00
Fractional positions:
1 Zn 0.000 0.500 0.000
2 Mn 0.000 0.000 0.000
3 Ga 0.000 0.000 0.500
4 Ga 0.500 0.000 0.000
5 W 0.500 0.500 0.500


3.
The following is a DFT calculation (PBE-GGA) of a relaxed YMnGa6 crystal.

Values from the calculation:
- SG = R-3m

Unit cell a=5.675 b=5.675 c=5.675 alpha=73.82 beta=73.82 gamma=106.18
Fractional positions:
1 Y 0.500 0.500 0.500
2 Mn 0.000 0.000 0.000
3 Ga 0.130 0.716 0.284
4 Ga 0.716 0.130 0.284
5 Ga 0.284 0.870 0.716
6 Ga 0.870 0.284 0.716
7 Ga 0.284 0.284 0.130
8 Ga 0.716 0.716 0.870


4.
The following is a DFT calculation (PBE-GGA) of a relaxed YMnGa3 crystal.

Values from the calculation:
- SG = Pm-3m

Unit cell a=5.402 b=5.402 c=5.402 alpha=90.00 beta=90.00 gamma=90.00
Fractional positions:
1 Y 0.000 0.000 0.000
2 Mn 0.500 0.500 0.500
3 Ga 0.000 0.500 0.000
4 Ga 0.000 0.000 0.500
5 Ga 0.500 0.000 0.000


5.
The following is a DFT calculation (PBE-GGA) of a relaxed Y4Mn3Ga16 crystal.

Values from the calculation:
- SG = P4/mmm

Unit cell a=6.082 b=6.082 c=11.315 alpha=90.00 beta=90.00 gamma=90.00
Fractional positions:
1 Y 0.500 0.000 0.810
2 Y 0.000 0.500 0.190
3 Y 0.000 0.500 0.810
4 Y 0.500 0.000 0.190
5 Mn 0.000 0.500 0.500
6 Mn 0.000 0.000 0.000
7 Mn 0.500 0.000 0.500
8 Ga 0.000 0.000 0.782
9 Ga 0.284 0.284 0.000
10 Ga 0.500 0.500 0.806
11 Ga 0.716 0.284 0.000
12 Ga 0.500 0.500 0.194
13 Ga 0.716 0.716 0.000
14 Ga 0.000 0.000 0.218
15 Ga 0.751 0.751 0.620
16 Ga 0.751 0.249 0.380
17 Ga 0.249 0.249 0.620
18 Ga 0.249 0.751 0.380
19 Ga 0.284 0.716 0.000
20 Ga 0.751 0.751 0.380
21 Ga 0.751 0.249 0.620
22 Ga 0.249 0.249 0.380
23 Ga 0.249 0.751 0.620


6.
The following is a DFT calculation (PBE-GGA) of a relaxed Y2MnGa8 crystal.

Values from the calculation:
- SG = P4/mmm

Unit cell a=4.251 b=4.251 c=11.337 alpha=90.00 beta=90.00 gamma=90.00
Fractional positions:
1 Y 0.000 0.000 0.309
2 Y 0.000 0.000 0.691
3 Mn 0.000 0.000 0.000
4 Ga 0.000 0.500 0.500
5 Ga 0.500 0.000 0.500
6 Ga 0.500 0.500 0.309
7 Ga 0.500 0.500 0.691
8 Ga 0.000 0.500 0.120
9 Ga 0.500 0.000 0.120
10 Ga 0.000 0.500 0.880
11 Ga 0.500 0.000 0.880


7.
The following is a DFT calculation (PBE-GGA) of a relaxed YMn2Ga crystal.

Values from the calculation:
- SG = I-42d

Unit cell a=4.217 b=4.217 c=9.254 alpha=76.83 beta=76.83 gamma=90.00
Fractional positions:
1 Y 0.000 0.000 0.000
2 Y 0.750 0.250 0.500
3 Mn 0.446 0.125 0.250
4 Mn 0.304 0.625 0.250
5 Mn 0.375 0.554 0.750
6 Mn 0.875 0.696 0.750
7 Ga 0.500 0.500 0.000
8 Ga 0.250 0.750 0.500


8.
The following is a DFT calculation (PBE-GGA) of a relaxed Y2Mn2Ga crystal.

Values from the calculation:
- SG = P4/mbm

Unit cell a=6.700 b=6.700 c=4.335 alpha=90.00 beta=90.00 gamma=90.00
Fractional positions:
1 Y 0.184 0.684 0.500
2 Y 0.684 0.816 0.500
3 Y 0.816 0.316 0.500
4 Y 0.316 0.184 0.500
5 Mn 0.389 0.889 0.000
6 Mn 0.889 0.611 0.000
7 Mn 0.611 0.111 0.000
8 Mn 0.111 0.389 0.000
9 Ga 0.000 0.000 0.000
10 Ga 0.500 0.500 0.000


9.
The following is a DFT calculation (PBE-GGA) of a relaxed Y2MnGa5 crystal.

Values from the calculation:
- SG = I4mm

Unit cell a=6.002 b=6.002 c=6.002 alpha=94.26 beta=117.57 gamma=117.57
Fractional positions:
1 Y 0.500 0.259 0.759
2 Y 0.500 0.759 0.259
3 Mn 0.000 0.923 0.923
4 Ga 0.431 0.724 0.724
5 Ga 0.000 0.724 0.293
6 Ga 0.000 0.293 0.724
7 Ga 0.569 0.293 0.293
8 Ga 0.000 0.245 0.245


10.
The following is a DFT calculation (PBE-GGA) of a relaxed MnZn4Ga2 crystal.

Values from the calculation:
- SG = I4/mmm

Unit cell a=6.879 b=6.879 c=5.440 alpha=129.22 beta=129.22 gamma=90.00
Fractional positions:
1 Mn 0.500 0.500 0.000
2 Zn 0.808 0.193 0.001
3 Zn 0.193 0.808 0.001
4 Zn 0.807 0.807 0.999
5 Zn 0.192 0.192 0.999
6 Ga 0.750 0.250 0.500
7 Ga 0.250 0.750 0.500


11.
The following is a DFT calculation (PBE-GGA) of a relaxed MnZnGa crystal.

Values from the calculation:
- SG = P-1

Unit cell a=2.822 b=5.467 c=7.286 alpha=125.52 beta=104.60 gamma=87.92
Fractional positions:
1 Mn 0.671 0.246 0.327
2 Mn 0.329 0.754 0.673
3 Zn 0.362 0.252 0.651
4 Zn 0.638 0.748 0.349
5 Ga 0.982 0.244 0.998
6 Ga 0.018 0.756 0.002


12.
The following is a DFT calculation (PBE-GGA) of a relaxed MnZn4Ga crystal.

Values from the calculation:
- relative energy among the computed polymorphs (meV per atom) = 51
- SG = F-43m

Unit cell a=5.103 b=5.103 c=5.103 alpha=60.00 beta=60.00 gamma=60.00
Fractional positions:
1 Zn 0.626 0.626 0.123
2 Zn 0.626 0.123 0.626
3 Zn 0.626 0.626 0.626
4 Zn 0.123 0.626 0.626
5 Mn 0.000 0.000 0.000
6 Ga 0.250 0.250 0.250


13.
The following is a DFT calculation (PBE-GGA) of a relaxed Mn4Zn7Ga crystal.

Values from the calculation:
- SG = P-1

Unit cell a=4.558 b=8.864 c=5.395 alpha=72.59 beta=89.96 gamma=58.35
Fractional positions:
1 Mn 0.481 0.273 0.603
2 Mn 0.519 0.727 0.397
3 Mn 0.520 0.725 0.878
4 Mn 0.480 0.275 0.122
5 Zn 0.825 0.926 0.533
6 Zn 0.175 0.074 0.467
7 Zn 0.122 0.624 0.189
8 Zn 0.878 0.376 0.811
9 Zn 0.170 0.580 0.711
10 Zn 0.500 0.000 0.000
11 Zn 0.830 0.420 0.289
12 Ga 0.000 0.000 0.000


14.
The following is a DFT calculation (PBE-GGA) of a relaxed Mn5ZnGa4 crystal.

Values from the calculation:
- SG = P4/mmm

Unit cell a=2.717 b=2.717 c=18.138 alpha=90.00 beta=90.00 gamma=90.00
Fractional positions:
1 Mn 0.500 0.500 0.101
2 Mn 0.500 0.500 0.299
3 Mn 0.500 0.500 0.500
4 Mn 0.500 0.500 0.701
5 Mn 0.500 0.500 0.899
6 Zn 0.000 0.000 0.000
7 Ga 0.000 0.000 0.200
8 Ga 0.000 0.000 0.400
9 Ga 0.000 0.000 0.600
10 Ga 0.000 0.000 0.800


15.
The following is a DFT calculation (PBE-GGA) of a relaxed Mn2Zn6Ga crystal.

Values from the calculation:
- SG = Fmmm

Unit cell a=3.822 b=6.175 c=6.036 alpha=84.38 beta=71.54 gamma=71.97
Fractional positions:
1 Mn 0.339 0.500 0.823
2 Mn 0.661 0.500 0.177
3 Zn 0.992 0.175 0.841
4 Zn 0.333 0.175 0.159
5 Zn 0.667 0.825 0.841
6 Zn 0.330 0.840 0.500
7 Zn 0.670 0.160 0.500
8 Zn 0.008 0.825 0.159
9 Ga 0.000 0.500 0.500


16.
The following is a DFT calculation (PBE-GGA) of a relaxed MnZnGa4 crystal.

Values from the calculation:
- SG = Pmmm

Unit cell a=5.756 b=6.086 c=5.842 alpha=90.00 beta=90.00 gamma=90.00
Fractional positions:
1 Mn 0.000 0.500 0.000
2 Mn 0.000 0.000 0.500
3 Zn 0.000 0.000 0.000
4 Zn 0.500 0.000 0.500
5 Ga 0.267 0.279 0.253
6 Ga 0.267 0.721 0.747
7 Ga 0.733 0.279 0.747
8 Ga 0.733 0.721 0.253
9 Ga 0.733 0.721 0.746
10 Ga 0.733 0.279 0.254
11 Ga 0.267 0.721 0.254
12 Ga 0.267 0.279 0.746


17.
The following is a DFT calculation (PBE-GGA) of a relaxed MnZn2Ga4 crystal.

Values from the calculation:
- SG = I4/mmm

Unit cell a=7.138 b=7.138 c=5.579 alpha=129.77 beta=129.77 gamma=90.00
Fractional positions:
1 Mn 0.500 0.500 0.000
2 Zn 0.750 0.250 0.500
3 Zn 0.250 0.750 0.500
4 Ga 0.808 0.192 0.000
5 Ga 0.192 0.808 0.000
6 Ga 0.808 0.808 0.000
7 Ga 0.192 0.192 0.000


18.
The following is a DFT calculation (PBE-GGA) of a relaxed Mn2Zn7Ga2 crystal.

Values from the calculation:
- SG = P-1

Unit cell a=8.803 b=6.804 c=4.092 alpha=53.31 beta=62.03 gamma=82.46
Fractional positions:
1 Mn 0.473 0.740 0.286
2 Mn 0.527 0.260 0.714
3 Zn 0.334 0.972 0.695
4 Zn 0.665 0.530 0.805
5 Zn 0.666 0.028 0.305
6 Zn 0.335 0.470 0.195
7 Zn 0.000 0.000 0.000
8 Zn 0.811 0.762 0.928
9 Zn 0.189 0.238 0.072
10 Ga 0.138 0.714 0.649
11 Ga 0.862 0.286 0.351


19.
The following is a DFT calculation (PBE-GGA) of a relaxed MnZnGa2 crystal.

Values from the calculation:
- SG = R-3m

Unit cell a=2.861 b=2.861 c=9.229 alpha=81.08 beta=81.08 gamma=60.00
Fractional positions:
1 Zn 0.000 0.000 0.000
2 Mn 0.500 0.500 0.500
3 Ga 0.093 0.093 0.720
4 Ga 0.907 0.907 0.280


20.
The following is a DFT calculation (PBE-GGA) of a relaxed MnZn3Ga crystal.

Values from the calculation:
- relative energy among the computed polymorphs (meV per atom) = 646
- SG = Pm-3m

Unit cell a=4.844 b=4.844 c=4.844 alpha=90.00 beta=90.00 gamma=90.00
Fractional positions:
1 Zn 0.000 0.500 0.000
2 Zn 0.000 0.000 0.500
3 Zn 0.500 0.000 0.000
4 Mn 0.500 0.500 0.500
5 Ga 0.000 0.000 0.000


21.
The following is a DFT calculation (PBE-GGA) of a relaxed Mn2Zn5Ga crystal.

Values from the calculation:
- SG = Pbam

Unit cell a=3.785 b=5.419 c=10.822 alpha=90.00 beta=90.00 gamma=90.00
Fractional positions:
1 Mn 0.500 0.236 0.620
2 Mn 0.500 0.764 0.380
3 Mn 0.500 0.264 0.120
4 Mn 0.500 0.736 0.880
5 Zn 0.000 0.000 0.000
6 Zn 0.000 0.500 0.500
7 Zn 0.000 0.487 0.747
8 Zn 0.000 0.513 0.253
9 Zn 0.000 0.013 0.247
10 Zn 0.000 0.987 0.753
11 Zn 0.500 0.236 0.870
12 Zn 0.500 0.764 0.130
13 Zn 0.500 0.264 0.370
14 Zn 0.500 0.736 0.630
15 Ga 0.000 0.000 0.500
16 Ga 0.000 0.500 0.000


22.
The following is a DFT calculation (PBE-GGA) of a relaxed MnZn4Ga crystal.

Values from the calculation:
- relative energy among the computed polymorphs (meV per atom) = 0
- SG = P2_1/m

Unit cell a=5.452 b=4.312 c=8.773 alpha=90.00 beta=90.00 gamma=90.02
Fractional positions:
1 Mn 0.498 0.504 0.250
2 Mn 0.502 0.496 0.750
3 Zn 0.997 0.505 0.250
4 Zn 0.003 0.495 0.750
5 Zn 0.748 0.004 0.250
6 Zn 0.252 0.996 0.750
7 Zn 0.740 0.501 0.001
8 Zn 0.260 0.499 0.501
9 Zn 0.740 0.501 0.499
10 Zn 0.260 0.499 0.999
11 Ga 0.265 0.004 0.250
12 Ga 0.735 0.996 0.750


23.
The following is a DFT calculation (PBE-GGA) of a relaxed MnZn2Ga2 crystal.

Values from the calculation:
- SG = P4/mbm

Unit cell a=6.761 b=6.761 c=3.651 alpha=90.00 beta=90.00 gamma=90.00
Fractional positions:
1 Zn 0.168 0.668 0.500
2 Zn 0.668 0.832 0.500
3 Zn 0.832 0.332 0.500
4 Zn 0.332 0.168 0.500
5 Mn 0.000 0.000 0.000
6 Mn 0.500 0.500 0.000
7 Ga 0.362 0.862 0.000
8 Ga 0.862 0.638 0.000
9 Ga 0.638 0.138 0.000
10 Ga 0.138 0.362 0.000


Looking at N(E_F) for the records above, in order, we have 0.394 1.272 0.587 0.994 0.422 0.426 0.820 0.763 0.547 0.486 0.586 0.309 0.522 0.553 0.463 0.297 0.345 0.490 0.599 0.591 0.316 0.364 0.456 states/eV/atom.
Looking at E_form for the records above, in order, we have 2.7 114.6 -17.1 97.1 -40.5 -40.4 29.9 -6.6 -37.7 19.2 4.6 13.1 8.3 -9.2 0.1 1.6 15.5 5.4 7.0 65.3 -4.6 8.1 17.6 kJ per mole of atoms.